Entry 1:
Sc4S3 GGA-PBE optimized geometry; DOS(E_F) = 3.493 states/eV/cell; VASP energy = -7.00 eV/atom
1.0
-1.1621 1.6181 -3.0503
3.7018 -3.7420 -3.3953
-5.6074 -2.7010 0.7035
Sc S
4 3
direct
0.5000 0.7519 0.2481
0.0000 0.2505 0.2505
0.5000 0.2481 0.7519
0.0000 0.7495 0.7495
0.0000 0.5000 0.0000
0.5000 0.0000 0.0000
0.0000 0.0000 0.5000

Entry 2:
CsTb4 GGA-PBE optimized geometry; DOS(E_F) = 5.064 states/eV/cell; formation enthalpy at 0 K = 1067.5 meV per atom
1.0
-0.4668 -3.2271 4.6648
1.2255 -4.6274 -3.0786
5.5382 0.7520 1.0744
Cs Tb
1 4
direct
0.5000 0.5000 0.5000
0.0000 0.0000 0.0000
0.5000 0.0000 0.5000
0.0000 0.5000 0.5000
0.5000 0.5000 0.0000

Entry 3:
Cu2SiS3 GGA-PBE optimized geometry; VASP energy = -4.76 eV/atom
1.0
-1.8458 -5.7712 1.9963
0.1095 -4.9610 -4.0095
5.1437 -4.7383 1.0354
Cu Si S
4 2 6
direct
0.8317 0.9920 0.4939
0.1579 0.3314 0.5206
0.9920 0.8317 0.9939
0.3314 0.1579 0.0206
0.5132 0.6793 0.4850
0.6793 0.5132 0.9850
0.6985 0.8720 0.8681
0.0245 0.2154 0.8949
0.3921 0.5419 0.8624
0.8720 0.6985 0.3681
0.2154 0.0245 0.3949
0.5419 0.3921 0.3624

Entry 4:
Th2Ni6Sn GGA-PBE optimized geometry; DOS(E_F) = 6.522 states/eV/cell; formation enthalpy at 0 K = -101.2 meV per atom
1.0
3.5736 0.0000 0.0000
0.0000 6.5611 0.0000
-1.7868 -3.2805 6.7556
Th Ni Sn
2 6 1
direct
0.8638 0.8638 0.7277
0.1362 0.1362 0.2723
0.6794 0.8665 0.3589
0.3206 0.1335 0.6411
0.3206 0.5076 0.6411
0.5000 0.2024 0.0000
0.5000 0.7976 0.0000
0.6794 0.4924 0.3589
0.0000 0.5000 0.0000

Entry 5:
TbNd2ErTh GGA-PBE optimized geometry; DOS(E_F) = 13.729 states/eV/cell; formation enthalpy at 0 K = 311.3 meV per atom
1.0
6.3647 0.0000 0.0000
0.0000 8.4964 1.2247
0.0000 -1.3337 6.2507
Tb Nd Er Th
2 4 2 2
direct
0.0000 0.0000 0.0000
0.0000 0.0000 0.5000
0.7063 0.6887 0.7713
0.7063 0.3113 0.7287
0.2937 0.6887 0.2713
0.2937 0.3113 0.2287
0.1862 0.5000 0.7500
0.8138 0.5000 0.2500
0.5509 0.0000 0.2500
0.4491 0.0000 0.7500

Entry 6:
LiScOs2 GGA-PBE optimized geometry; DOS(E_F) = 3.760 states/eV/cell; formation enthalpy at 0 K = 77.8 meV per atom; distance to the lowest polymorph of the same formula = 111 meV per atom
1.0
4.3057 0.0000 0.0000
0.0000 3.7496 0.0000
0.0000 0.0000 3.7496
Li Os Sc
1 2 1
direct
0.5000 0.0000 0.5000
0.0000 0.0000 0.0000
0.0000 0.5000 0.5000
0.5000 0.5000 0.0000

Entry 7:
Ac5Ga2Sn GGA-PBE optimized geometry; DOS(E_F) = 15.634 states/eV/cell; formation enthalpy at 0 K = -468.2 meV per atom
1.0
-7.2623 3.8817 2.4562
-3.7935 -7.6591 0.8879
7.8255 1.5925 5.5894
Ac Ga Sn
10 4 2
direct
0.5229 0.6863 0.7092
0.8137 0.9771 0.2908
0.0000 0.0000 0.0000
0.5000 0.5000 0.0000
0.1863 0.0229 0.7092
0.6863 0.1863 0.7092
0.0229 0.5229 0.7092
0.3137 0.8137 0.2908
0.9771 0.4771 0.2908
0.4771 0.3137 0.2908
0.1210 0.3790 0.0000
0.6210 0.1210 0.0000
0.3790 0.8790 0.0000
0.8790 0.6210 0.0000
0.7500 0.7500 0.5000
0.2500 0.2500 0.5000

Entry 8:
CdP2RhCl GGA-PBE optimized geometry; DOS(E_F) = 4.038 states/eV/cell; distance to the lowest polymorph of the same formula = 0 meV per atom
1.0
-1.4515 -2.5768 3.4876
3.1143 -3.1786 -1.0524
3.4009 2.3007 3.1152
P Cl Rh Cd
2 1 1 1
direct
0.0000 0.5000 0.0000
0.5000 0.0000 0.0000
0.0000 0.0000 0.5000
0.0000 0.0000 0.0000
0.5000 0.5000 0.5000

Entry 9:
Cs4NpIn3Br12 GGA-PBE optimized geometry; DOS(E_F) = 8.397 states/eV/cell; VASP energy = -3.53 eV/atom
1.0
-8.5711 -4.3167 3.5200
6.6363 -7.2968 -2.6838
4.1250 5.8370 7.3076
Cs Np In Br
4 1 3 12
direct
0.5000 0.5000 0.5000
0.0000 0.0000 0.5000
0.5000 0.0000 0.0000
0.0000 0.5000 0.0000
0.0000 0.0000 0.0000
0.5000 0.0000 0.5000
0.5000 0.5000 0.0000
0.0000 0.5000 0.5000
0.2500 0.5000 0.7500
0.7607 0.0000 0.7607
0.2393 0.0000 0.2393
0.7500 0.5000 0.2500
0.7607 0.7607 0.0000
0.2393 0.2393 0.0000
0.7500 0.2500 0.5000
0.2500 0.7500 0.5000
0.5000 0.2500 0.7500
0.0000 0.7607 0.7607
0.5000 0.7500 0.2500
0.0000 0.2393 0.2393

Entry 10:
Pr8Dy4Er3 GGA-PBE optimized geometry; DOS(E_F) = 22.596 states/eV/cell; formation enthalpy at 0 K = 329.1 meV per atom; distance to the lowest polymorph of the same formula = 172 meV per atom
1.0
6.9199 -0.0329 -0.0472
-3.2266 8.5341 1.5341
-3.2266 -1.5239 8.5359
Pr Dy Er
8 4 3
direct
0.2850 0.2444 0.2444
0.0000 0.7053 0.2947
0.8224 0.2959 0.2959
0.5000 0.7538 0.2462
0.5000 0.2462 0.7538
0.1776 0.7041 0.7041
0.0000 0.2947 0.7053
0.7150 0.7556 0.7556
0.5000 0.0000 0.0000
0.0000 0.5000 0.0000
0.0000 0.0000 0.0000
0.0000 0.0000 0.5000
0.5000 0.5000 0.0000
0.5000 0.0000 0.5000
0.5000 0.5000 0.5000

Entry 11:
CuPd2Pt GGA-PBE optimized geometry; DOS(E_F) = 5.874 states/eV/cell; formation enthalpy at 0 K = -42.5 meV per atom; distance to the lowest polymorph of the same formula = 57 meV per atom
1.0
2.7532 0.0000 0.0000
1.3766 2.3843 0.0000
1.3766 0.7948 8.9961
Cu Pd Pt
1 2 1
direct
0.6669 0.6669 0.9992
0.0785 0.0785 0.7644
0.2548 0.2548 0.2356
0.4997 0.4997 0.5008

Entry 12:
AcAlHgPd3 GGA-PBE optimized geometry; DOS(E_F) = 7.558 states/eV/cell; formation enthalpy at 0 K = -498.1 meV per atom
1.0
6.1537 0.0000 0.0000
0.0000 7.2524 0.0000
0.0000 -3.6262 6.1789
Ac Al Hg Pd
2 2 2 6
direct
0.7500 0.2981 0.5961
0.2500 0.7019 0.4039
0.2500 0.3896 0.7792
0.7500 0.6104 0.2208
0.2500 0.9637 0.9275
0.7500 0.0363 0.0725
0.2500 0.1934 0.3868
0.0000 0.3044 0.0000
0.5000 0.6956 0.0000
0.5000 0.3044 0.0000
0.0000 0.6956 0.0000
0.7500 0.8066 0.6132

Number 5 is which compound?
TbNd2ErTh